Density functional theory data (PBE) for an optimized crystal structure of LaDyMg.

Uncorrected energy = -3.75 eV per atom
ΔH_f (0 K) = -0.14 eV/f.u.
Offset from the most stable computed form = 0 meV/atom
V = 30.9 A^3/atom

Cell and atoms, written as CIF:
```
data_LaDyMg
_cell_length_a 5.3757
_cell_length_b 12.8237
_cell_length_c 5.3849
_cell_angle_alpha 90.00
_cell_angle_beta 90.00
_cell_angle_gamma 90.00
_symmetry_space_group_name_H-M 'C m c m'
_symmetry_Int_Tables_number 63
_symmetry_space_group_name_Hall '-C 2c 2'
loop_
_atom_site_label
_atom_site_fract_x
_atom_site_fract_y
_atom_site_fract_z
La1 0.0000 0.0891 0.2500
Dy1 0.0000 0.4038 0.2500
Mg1 0.0000 0.2492 0.7500
```